No. 1
Ba2LaAs2I2 | Alexandria via LeMat-Bulk | GGA-PBE | relaxed; space group = No. 139; formation energy from raw total energies = -9.388 eV per formula unit; magnetic moment = 0.00 μB per cell; crystal system = tetragonal; DOS at the Fermi energy = 2.90 states/eV/cell; E = -4.366 eV/atom
1.0
-0.776 -2.366 -5.126
-3.539 -3.828 2.302
-4.739 8.578 -0.074
Ba La As I
2 1 2 2
Cartesian
-5.310 4.220 -1.144
-3.744 -1.836 -1.754
0.000 0.000 0.000
-1.769 -1.914 1.151
-0.388 -1.183 -2.563
-2.570 2.042 -0.554
-6.483 0.341 -2.344

No. 2
FeTcAs2 | Alexandria via LeMat-Bulk | GGA-PBE | relaxed; space group = No. 119; magnetic moment = 2.64 μB per cell; crystal system = tetragonal; DOS at the Fermi energy = 4.52 states/eV/cell; energy of formation = 0.281 eV/atom; E = -6.751 eV/atom; energy relative to the lowest polymorph listed for this composition = 312 meV per atom
1.0
-2.177 2.797 -3.859
0.948 -1.071 -5.041
-1.378 -2.462 4.415
As Fe Tc
2 1 1
Cartesian
0.000 0.000 0.000
-0.522 -1.335 -2.538
-0.614 0.863 -4.450
-2.085 0.599 -1.947

No. 3
BaCuP2Pd | Alexandria via LeMat-Bulk | GGA-PBE | relaxed; space group = No. 119; magnetic moment = 0.00 μB per cell; crystal system = tetragonal; DOS at the Fermi energy = 1.46 states/eV/cell; energy of formation = -0.606 eV/atom; E = -5.012 eV/atom
1.0
4.351 0.000 0.000
0.000 4.351 0.000
-2.175 -2.175 4.996
Ba Cu P Pd
1 1 2 1
Cartesian
0.000 0.000 0.000
0.000 2.175 2.498
2.175 2.175 1.215
0.000 0.000 3.782
2.175 0.000 2.498

- magnetic moment of number 3 (BaCuP2Pd)?
  0.00 μB per cell

- Which value of magnetic moment does entry 2 give?
  2.64 μB per cell

- What is the DOS at the Fermi energy in the first record?
  2.90 states/eV/cell